(1)
Compound: Th6Mn2Ag
Source: Alexandria
Functional: PBE-GGA
Structure: optimized geometry

Cell: 9.278 9.714 10.498 Å, 90.00 90.00 90.00°
Space group Immm (No. 71)
Inequivalent atoms, fractional coordinates:
Th 0.000 0.203 0.234 [8 per cell]
Th 0.192 0.500 0.170 [8 per cell]
Th 0.208 0.314 0.500 [8 per cell]
Mn 0.000 0.338 0.000 [4 per cell]
Mn 0.000 0.500 0.378 [4 per cell]
Ag 0.000 0.000 0.000 [2 per cell]
Ag 0.000 0.000 0.500 [2 per cell]

V = 26.282 Å³/atom
Total magnetization = 0.748 μB per formula unit
E_form = 0.0491 eV per atom

***

(2)
Compound: TmThMnAg
Source: Alexandria
Functional: PBE-GGA
Structure: optimized geometry

Cell: 7.206 7.206 7.206 Å, 90.00 90.00 90.00°
Space group F-43m (No. 216)
Inequivalent atoms, fractional coordinates:
Tm 0.000 0.000 0.000 [4 per cell]
Th 0.000 0.000 0.500 [4 per cell]
Mn 0.250 0.250 0.750 [4 per cell]
Ag 0.250 0.250 0.250 [4 per cell]

V = 23.387 Å³/atom
Total magnetization = 2.132 μB per formula unit
E_form = 0.0499 eV per atom

***

(3)
Compound: YThMnAg
Source: Alexandria
Functional: PBE-GGA
Structure: optimized geometry

Cell: 7.268 7.268 7.268 Å, 90.00 90.00 90.00°
Space group F-43m (No. 216)
Inequivalent atoms, fractional coordinates:
Y 0.000 0.000 0.000 [4 per cell]
Th 0.000 0.000 0.500 [4 per cell]
Mn 0.250 0.250 0.250 [4 per cell]
Ag 0.250 0.250 0.750 [4 per cell]

V = 23.996 Å³/atom
Total magnetization = 2.186 μB per formula unit
E_form = 0.0642 eV per atom

***

(4)
Compound: TiMnAg3
Source: Alexandria
Functional: PBE-GGA
Structure: optimized geometry

Cell: 4.748 4.748 4.748 Å, 90.00 90.00 90.00°
Space group Pm-3m (No. 221)
Inequivalent atoms, fractional coordinates:
Ti 0.000 0.000 0.000 [1 per cell]
Mn 0.500 0.500 0.500 [1 per cell]
Ag 0.000 0.500 0.500 [3 per cell]

V = 21.406 Å³/atom
Total magnetization = 2.215 μB per formula unit
E_form = 1.3657 eV per atom